1.
KCaHg6, optimized geometry, DFT PBE; energy relative to the elements = -288 meV per atom
1.0
-2.9543 2.9079 -3.4497
-0.3024 -5.3632 -4.2618
-4.8109 0.8256 4.8158
K Ca Hg
1 1 6
direct
0.5000 0.4166 0.5834 K
0.0000 0.0834 0.9166 Ca
0.0000 0.0643 0.4073 Hg
0.0000 0.5927 0.9357 Hg
0.0000 0.5924 0.4076 Hg
0.5000 0.4211 0.0855 Hg
0.5000 0.9145 0.5789 Hg
0.5000 0.9147 0.0853 Hg



2.
Nd3ScPb2, optimized geometry, DFT PBE; energy relative to the elements = -429 meV per atom
1.0
6.5656 0.0000 0.0000
0.0000 6.5179 0.0000
-3.2828 -3.2589 8.6903
Nd Sc Pb
6 2 4
direct
0.4288 0.6733 0.3467 Nd
0.5712 0.3267 0.6533 Nd
0.0821 0.8267 0.6533 Nd
0.9179 0.1733 0.3467 Nd
0.5000 0.7500 0.0000 Nd
0.5000 0.2500 0.0000 Nd
0.0000 0.2500 0.0000 Sc
0.0000 0.7500 0.0000 Sc
0.3711 0.1358 0.2716 Pb
0.6289 0.8642 0.7284 Pb
0.0995 0.3642 0.7284 Pb
0.9005 0.6358 0.2716 Pb



3.
LuZr2Ti, optimized geometry, DFT PBE; energy relative to the elements = 113 meV per atom
1.0
-1.6940 2.9475 1.2815
-2.7859 -2.0689 1.0761
3.0736 -0.9222 6.1843
Lu Zr Ti
1 2 1
direct
0.5000 0.5000 0.5000 Lu
0.0000 0.0000 0.7924 Zr
0.0000 0.0000 0.2076 Zr
0.5000 0.5000 0.0000 Ti



4.
AcAgP2S6, optimized geometry, DFT PBE; raw formation energy = -0.499 eV/atom
1.0
6.4825 0.0000 0.0000
3.2413 5.6140 0.0000
3.2413 1.8713 7.0691
Ac Ag P S
1 1 2 6
direct
0.0000 0.0000 0.0000 Ac
0.5000 0.5000 0.5000 Ag
0.7742 0.7742 0.6775 P
0.2258 0.2258 0.3225 P
0.0736 0.4711 0.7571 S
0.6982 0.0736 0.7571 S
0.5289 0.3018 0.2429 S
0.9264 0.5289 0.2429 S
0.3018 0.9264 0.2429 S
0.4711 0.6982 0.7571 S